No. 1
Density functional theory data (PBE) for an optimized crystal structure of MgMn2Au8.

```
MgMn2Au8
1.0
9.2526 -1.5045 0.0000
9.2526 1.5045 0.0000
-2.7211 0.0000 6.6824
Mg Mn Au
1 2 8
direct
0.0000 0.0000 0.0000
0.2672 0.2672 0.4245
0.7328 0.7328 0.5755
0.0996 0.0996 0.4254
0.1893 0.1893 0.8472
0.3516 0.3516 0.8566
0.4565 0.4565 0.2788
0.5435 0.5435 0.7212
0.6484 0.6484 0.1434
0.8107 0.8107 0.1528
0.9004 0.9004 0.5746
```

Computed properties:
Total magnetic moment ... 0.10 μB/atom
Calculated density ... 15.26 g/cm³
ΔE_f ... 0.43 kcal/mol of atoms
ΔE to the lowest computed polymorph ... 200.1 meV per atom

=====

No. 2
Density functional theory data (PBE) for an optimized crystal structure of DyHo8Sc6.

```
DyHo8Sc6
1.0
4.6693 2.6958 5.7283
-4.6693 2.6958 5.7283
0.0000 -5.3917 5.7283
Dy Ho Sc
1 8 6
direct
0.0000 0.0000 0.0000
0.0668 0.6373 0.7720
0.2280 0.9332 0.3627
0.3627 0.2280 0.9332
0.4086 0.4086 0.4086
0.5914 0.5914 0.5914
0.6373 0.7720 0.0668
0.7720 0.0668 0.6373
0.9332 0.3627 0.2280
0.0571 0.2899 0.6141
0.2899 0.6141 0.0571
0.3859 0.9429 0.7101
0.6141 0.0571 0.2899
0.7101 0.3859 0.9429
0.9429 0.7101 0.3859
```

Computed properties:
Total magnetic moment ... 0.00 μB/atom
Calculated density ... 6.72 g/cm³
ΔE_f ... 4.37 kcal/mol of atoms
ΔE to the lowest computed polymorph ... 0.0 meV per atom